First-principles (PBE) data for crystalline TiSbI2O at its relaxed geometry, as listed in Alexandria.

Lattice parameters (Å, degrees): 6.1233 6.1233 4.0428 90.00 90.00 90.00
Atoms (fractional coordinates):
Ti 0.0000 0.0000 0.0000
Sb 0.5000 0.5000 0.5000
I 0.0000 0.5000 0.5000
I 0.5000 0.0000 0.5000
O 0.5000 0.5000 0.0000

Properties
Crystal system = tetragonal
Energy relative to the elements, uncorrected = 0.214 eV per atom
Relative energy among the computed polymorphs = 0.968 eV per atom
Mass density = 4.8 g/cm³
DOS(E_F) = 1.17 states/eV/atom